# Na3GeBr PBE optimized geometry
# * size of the total moment: 0.0000 μB per atom
# * energy relative to the lowest polymorph listed for this composition: 0 meV per atom
# * formation energy from raw total energies: -0.272 eV per atom
# * final energy: -2.322 eV per atom
data_Na3GeBr
_chemical_formula_sum 'Na3 Ge1 Br1'
_space_group_name_H-M_alt 'P m -3 m'
_space_group_IT_number 221
_space_group_name_Hall '-P 4 2 3'
_cell_length_a 5.4329
_cell_length_b 5.4329
_cell_length_c 5.4329
_cell_angle_alpha 90.00
_cell_angle_beta 90.00
_cell_angle_gamma 90.00
loop_
_atom_site_label
_atom_site_type_symbol
_atom_site_fract_x
_atom_site_fract_y
_atom_site_fract_z
_atom_site_occupancy
Na1 Na 0.0000 0.0000 0.5000 1
Ge1 Ge 0.5000 0.5000 0.5000 1
Br1 Br 0.0000 0.0000 0.0000 1


# NaLa2Pm3S6 PBE optimized geometry
# * size of the total moment: 0.0000 μB per atom
# * formation energy from raw total energies: -2.009 eV per atom
# * final energy: -6.192 eV per atom
data_NaLa2Pm3S6
_chemical_formula_sum 'Na2 La4 Pm6 S12'
_space_group_name_H-M_alt 'C 1 2/m 1'
_space_group_IT_number 12
_cell_length_a 17.8500
_cell_length_b 4.0682
_cell_length_c 8.2027
_cell_angle_alpha 90.00
_cell_angle_beta 103.76
_cell_angle_gamma 90.00
loop_
_space_group_symop_operation_xyz
'x,y,z'
'-x,-y,-z'
'-x,y,-z'
'x,-y,z'
'x+1/2,y+1/2,z'
'-x+1/2,-y+1/2,-z'
'-x+1/2,y+1/2,-z'
'x+1/2,-y+1/2,z'
loop_
_atom_site_label
_atom_site_type_symbol
_atom_site_fract_x
_atom_site_fract_y
_atom_site_fract_z
_atom_site_occupancy
Na1 Na 0.0000 0.0000 0.0000 1
La1 La 0.1662 0.5000 0.3347 1
Pm1 Pm 0.0000 0.0000 0.5000 1
Pm2 Pm 0.1645 0.5000 0.8267 1
S1 S 0.0012 0.5000 0.7471 1
S2 S 0.1639 0.0000 0.5870 1
S3 S 0.1676 0.0000 0.0759 1


# LiPmTmCu PBE optimized geometry
# * size of the total moment: 0.0000 μB per atom
# * calculated formation energy: -0.02 eV per atom
# * final energy: -3.828 eV per atom
data_LiPmTmCu
_chemical_formula_sum 'Li4 Pm4 Tm4 Cu4'
_space_group_name_H-M_alt 'F -4 3 m'
_space_group_IT_number 216
_space_group_name_Hall 'F -4 2 3'
_cell_length_a 7.1543
_cell_length_b 7.1543
_cell_length_c 7.1543
_cell_angle_alpha 90.00
_cell_angle_beta 90.00
_cell_angle_gamma 90.00
loop_
_atom_site_label
_atom_site_type_symbol
_atom_site_fract_x
_atom_site_fract_y
_atom_site_fract_z
_atom_site_occupancy
Li1 Li 0.0000 0.0000 0.0000 1
Pm1 Pm 0.2500 0.2500 0.2500 1
Tm1 Tm 0.2500 0.2500 0.7500 1
Cu1 Cu 0.0000 0.0000 0.5000 1


# FeAsAu2 PBE optimized geometry
# * size of the total moment: 0.7342 μB per atom
# * calculated formation energy: 0.28 eV per atom
# * final energy: -4.634 eV per atom
data_FeAsAu2
_chemical_formula_sum 'Fe2 As2 Au4'
_space_group_name_H-M_alt 'C m m m'
_space_group_IT_number 65
_space_group_name_Hall '-C 2 2'
_cell_length_a 5.4803
_cell_length_b 8.2239
_cell_length_c 3.0286
_cell_angle_alpha 90.00
_cell_angle_beta 90.00
_cell_angle_gamma 90.00
loop_
_atom_site_label
_atom_site_type_symbol
_atom_site_fract_x
_atom_site_fract_y
_atom_site_fract_z
_atom_site_occupancy
Fe1 Fe 0.0000 0.0000 0.0000 1
As1 As 0.0000 0.5000 0.0000 1
Au1 Au 0.2500 0.2500 0.5000 1


# TmTlBr4 PBE optimized geometry
# * size of the total moment: 0.0000 μB per atom
# * formation energy from raw total energies: -1.517 eV per atom
# * final energy: -3.772 eV per atom
data_TmTlBr4
_chemical_formula_sum 'Tm1 Tl1 Br4'
_space_group_name_H-M_alt 'P -1'
_space_group_IT_number 2
_cell_length_a 4.2072
_cell_length_b 7.1722
_cell_length_c 8.4065
_cell_angle_alpha 102.54
_cell_angle_beta 90.02
_cell_angle_gamma 106.98
loop_
_space_group_symop_operation_xyz
'x,y,z'
'-x,-y,-z'
loop_
_atom_site_label
_atom_site_type_symbol
_atom_site_fract_x
_atom_site_fract_y
_atom_site_fract_z
_atom_site_occupancy
Tm1 Tm 0.0000 0.0000 0.0000 1
Tl1 Tl 0.5000 0.0000 0.5000 1
Br1 Br 0.1192 0.2387 0.3068 1
Br2 Br 0.3852 0.7691 0.0893 1


# Li2AgPb PBE optimized geometry
# * size of the total moment: 0.0000 μB per atom
# * calculated formation energy: -0.15 eV per atom
# * final energy: -2.750 eV per atom
data_Li2AgPb
_chemical_formula_sum 'Li2 Ag1 Pb1'
_space_group_name_H-M_alt 'P 4 m m'
_space_group_IT_number 99
_cell_length_a 3.5039
_cell_length_b 3.5039
_cell_length_c 6.4930
_cell_angle_alpha 90.00
_cell_angle_beta 90.00
_cell_angle_gamma 90.00
loop_
_space_group_symop_operation_xyz
'x,y,z'
'-y,x,z'
'-x,-y,z'
'y,-x,z'
'-x,y,z'
'y,x,z'
'x,-y,z'
'-y,-x,z'
loop_
_atom_site_label
_atom_site_type_symbol
_atom_site_fract_x
_atom_site_fract_y
_atom_site_fract_z
_atom_site_occupancy
Li1 Li 0.0000 0.0000 0.0000 1
Li2 Li 0.5000 0.5000 0.2474 1
Ag1 Ag 0.5000 0.5000 0.8097 1
Pb1 Pb 0.0000 0.0000 0.5163 1


# NpIn2I4Br2 PBE optimized geometry
# * size of the total moment: 0.3333 μB per atom
# * formation energy from raw total energies: -0.759 eV per atom
# * final energy: -3.866 eV per atom
data_NpIn2I4Br2
_chemical_formula_sum 'Np2 In4 I8 Br4'
_space_group_name_H-M_alt 'C 1 2/m 1'
_space_group_IT_number 12
_cell_length_a 14.1704
_cell_length_b 8.4078
_cell_length_c 7.4678
_cell_angle_alpha 90.00
_cell_angle_beta 111.49
_cell_angle_gamma 90.00
loop_
_space_group_symop_operation_xyz
'x,y,z'
'-x,-y,-z'
'-x,y,-z'
'x,-y,z'
'x+1/2,y+1/2,z'
'-x+1/2,-y+1/2,-z'
'-x+1/2,y+1/2,-z'
'x+1/2,-y+1/2,z'
loop_
_atom_site_label
_atom_site_type_symbol
_atom_site_fract_x
_atom_site_fract_y
_atom_site_fract_z
_atom_site_occupancy
Np1 Np 0.0000 0.0000 0.0000 1
In1 In 0.2337 0.5000 0.2082 1
I1 I 0.0865 0.2497 0.8118 1
Br1 Br 0.1797 0.0000 0.3124 1


# Tb4Dy3Tm3 PBE optimized geometry
# * size of the total moment: 0.0000 μB per atom
# * calculated formation energy: 0.09 eV per atom
# * final energy: -4.484 eV per atom
data_Tb4Dy3Tm3
_chemical_formula_sum 'Tb8 Dy6 Tm6'
_space_group_name_H-M_alt 'A m m 2'
_space_group_IT_number 38
_cell_length_a 3.7052
_cell_length_b 13.0291
_cell_length_c 13.0177
_cell_angle_alpha 90.00
_cell_angle_beta 90.00
_cell_angle_gamma 90.00
loop_
_space_group_symop_operation_xyz
'x,y,z'
'-x,-y,z'
'-x,y,z'
'x,-y,z'
'x,y+1/2,z+1/2'
'-x,-y+1/2,z+1/2'
'-x,y+1/2,z+1/2'
'x,-y+1/2,z+1/2'
loop_
_atom_site_label
_atom_site_type_symbol
_atom_site_fract_x
_atom_site_fract_y
_atom_site_fract_z
_atom_site_occupancy
Tb1 Tb 0.0000 0.0000 0.0000 1
Tb2 Tb 0.0000 0.0000 0.2556 1
Tb3 Tb 0.0000 0.1284 0.6270 1
Dy1 Dy 0.0000 0.2487 0.3780 1
Dy2 Dy 0.5000 0.0000 0.7979 1
Tm1 Tm 0.5000 0.0000 0.4574 1
Tm2 Tm 0.5000 0.1701 0.1278 1


# CsFe3As PBE optimized geometry
# * size of the total moment: 1.6004 μB per atom
# * energy relative to the lowest polymorph listed for this composition: 0 meV per atom
# * calculated formation energy: 0.92 eV per atom
# * final energy: -5.262 eV per atom
data_CsFe3As
_chemical_formula_sum 'Cs1 Fe3 As1'
_space_group_name_H-M_alt 'P m -3 m'
_space_group_IT_number 221
_space_group_name_Hall '-P 4 2 3'
_cell_length_a 4.7601
_cell_length_b 4.7601
_cell_length_c 4.7601
_cell_angle_alpha 90.00
_cell_angle_beta 90.00
_cell_angle_gamma 90.00
loop_
_atom_site_label
_atom_site_type_symbol
_atom_site_fract_x
_atom_site_fract_y
_atom_site_fract_z
_atom_site_occupancy
Cs1 Cs 0.0000 0.0000 0.0000 1
Fe1 Fe 0.0000 0.5000 0.5000 1
As1 As 0.5000 0.5000 0.5000 1


# Si2RhSe PBE optimized geometry
# * size of the total moment: 0.0000 μB per atom
# * formation energy from raw total energies: -0.074 eV per atom
# * final energy: -5.494 eV per atom
data_Si2RhSe
_chemical_formula_sum 'Si6 Rh3 Se3'
_space_group_name_H-M_alt 'R 3 m'
_space_group_IT_number 160
_space_group_name_Hall 'R 3 -2"'
_cell_length_a 3.3645
_cell_length_b 3.3645
_cell_length_c 20.4929
_cell_angle_alpha 90.00
_cell_angle_beta 90.00
_cell_angle_gamma 120.00
loop_
_atom_site_label
_atom_site_type_symbol
_atom_site_fract_x
_atom_site_fract_y
_atom_site_fract_z
_atom_site_occupancy
Si1 Si 0.0000 0.0000 0.0000 1
Si2 Si 0.0000 0.0000 0.2448 1
Rh1 Rh 0.0000 0.0000 0.7326 1
Se1 Se 0.0000 0.0000 0.5031 1


# PrNd3Tl3 PBE optimized geometry
# * size of the total moment: 0.0000 μB per atom
# * energy relative to the lowest polymorph listed for this composition: 0 meV per atom
# * calculated formation energy: -0.29 eV per atom
# * final energy: -4.029 eV per atom
data_PrNd3Tl3
_chemical_formula_sum 'Pr4 Nd12 Tl12'
_space_group_name_H-M_alt 'P 21 3'
_space_group_IT_number 198
_space_group_name_Hall 'P 2ac 2ab 3'
_cell_length_a 9.6466
_cell_length_b 9.6466
_cell_length_c 9.6466
_cell_angle_alpha 90.00
_cell_angle_beta 90.00
_cell_angle_gamma 90.00
loop_
_atom_site_label
_atom_site_type_symbol
_atom_site_fract_x
_atom_site_fract_y
_atom_site_fract_z
_atom_site_occupancy
Pr1 Pr 0.0736 0.4264 0.5736 1
Nd1 Nd 0.0744 0.5744 0.9256 1
Nd2 Nd 0.1763 0.8237 0.3237 1
Nd3 Nd 0.1769 0.1769 0.1769 1
Tl1 Tl 0.0004 0.2510 0.8762 1